Entry 1:
AcSmMgHg: relaxed, PBE.

a b c (Å): 3.942 3.942 7.921
angles (deg): 90.00 90.00 90.00
Positions (direct):
Hg: 0.500 0.500 0.141
Mg: 0.500 0.500 0.580
Ac: 0.000 0.000 0.857
Sm: 0.000 0.000 0.350

Properties
The magnetic moment is 0.00 μB per formula unit. The density of states at the Fermi level is 5.00 states/eV/f.u. For the energy of formation from the pure elements, the calculation gives -270 meV/atom.



Entry 2:
Ge2CI: relaxed, PBE.

a b c (Å): 4.832 4.832 4.832
angles (deg): 60.00 60.00 60.00
Positions (direct):
C: 0.000 0.000 0.000
Ge: 0.250 0.250 0.250
Ge: 0.750 0.750 0.750
I: 0.500 0.500 0.500

Properties
The magnetic moment is 0.00 μB per formula unit. The density of states at the Fermi level is 3.45 states/eV/f.u. The total energy is -3.2304 eV per atom.



Entry 3:
CsNaCdSi2: relaxed, PBE.

a b c (Å): 6.080 6.592 6.080
angles (deg): 90.00 90.00 90.00
Last column: magnetic moment on the atom in μB.
Positions (direct):
Cd: 0.000 0.500 0.000  0.02
Si: 0.000 0.000 0.500  0.33
Si: 0.500 0.000 0.000  0.34
Cs: 0.000 0.000 0.000  0.09
Na: 0.500 0.500 0.500  -0.01

Properties
The magnetic moment is 2.58 μB per formula unit. The density of states at the Fermi level is 4.42 states/eV/f.u. The total energy is -1.3451 eV per atom.



Entry 4:
CdRhO3: relaxed, PBE.

a b c (Å): 2.906 5.718 5.716
angles (deg): 59.99 90.00 90.00
Last column: magnetic moment on the atom in μB.
Positions (direct):
O: 0.720 0.805 0.209  0.10
O: 0.720 0.246 0.211  0.10
O: 0.720 0.248 0.767  0.10
Rh: 0.220 0.099 0.062  0.45
Cd: 0.220 0.433 0.395  0.00

Properties
The magnetic moment is 0.83 μB per formula unit. The density of states at the Fermi level is 4.22 states/eV/f.u. The total energy is -5.0349 eV per atom.



Entry 5:
KCdMo2: relaxed, PBE.

a b c (Å): 4.690 4.690 7.912
angles (deg): 88.94 88.94 33.30
Positions (direct):
Cd: 0.492 0.492 0.568
K: 0.245 0.245 0.239
Mo: 0.004 0.004 0.917
Mo: 0.759 0.759 0.776

Properties
The magnetic moment is 0.00 μB per formula unit. The density of states at the Fermi level is 3.68 states/eV/f.u. For the energy of formation from the pure elements, the calculation gives 834 meV/atom.



Entry 6:
W4Au5: relaxed, PBE.

a b c (Å): 7.077 7.077 7.077
angles (deg): 93.14 93.14 152.95
Positions (direct):
W: 0.349 0.000 0.349
W: 0.000 0.349 0.349
W: 0.651 0.000 0.651
W: 0.000 0.651 0.651
Au: 0.332 0.668 0.000
Au: 0.668 0.668 0.335
Au: 0.332 0.332 0.665
Au: 0.668 0.332 0.000
Au: 0.000 0.000 0.000

Properties
The magnetic moment is 0.00 μB per formula unit. The density of states at the Fermi level is 4.67 states/eV/f.u. For the energy of formation from the pure elements, the calculation gives 343 meV/atom.



Entry 7:
TaAlFeMo: relaxed, PBE.

a b c (Å): 4.382 4.382 4.382
angles (deg): 60.00 60.00 60.00
Last column: magnetic moment on the atom in μB.
Positions (direct):
Fe: 0.000 0.000 0.000  1.40
Al: 0.250 0.250 0.250  -0.01
Mo: 0.500 0.500 0.500  0.62
Ta: 0.750 0.750 0.750  -0.16

Properties
The magnetic moment is 1.87 μB per formula unit. The density of states at the Fermi level is 3.73 states/eV/f.u. For the energy of formation from the pure elements, the calculation gives -118 meV/atom.



Entry 8:
SiNF2: relaxed, PBE.

a b c (Å): 9.176 9.176 9.176
angles (deg): 16.38 16.38 16.38
Last column: magnetic moment on the atom in μB.
Positions (direct):
Si: 0.000 0.000 0.000  0.00
F: 0.060 0.060 0.060  0.01
F: 0.940 0.940 0.940  0.01
N: 0.500 0.500 0.500  1.05

Properties
The magnetic moment is 1.54 μB per formula unit. The density of states at the Fermi level is 1.10 states/eV/f.u. The total energy is -4.4283 eV per atom.



Entry 9:
La3Pr2Ho5: relaxed, PBE.

a b c (Å): 9.232 9.222 11.329
angles (deg): 122.75 122.77 70.79
Positions (direct):
Ho: 0.141 0.393 0.273
Ho: 0.026 0.776 0.553
Ho: 0.725 0.475 0.949
Ho: 0.530 0.280 0.560
Ho: 0.859 0.607 0.727
Ho: 0.367 0.120 0.727
Ho: 0.974 0.224 0.447
Ho: 0.633 0.880 0.273
Ho: 0.470 0.720 0.440
Ho: 0.275 0.525 0.051
La: 0.022 0.775 0.251
La: 0.769 0.019 0.038
La: 0.978 0.225 0.749
La: 0.231 0.981 0.962
La: 0.272 0.524 0.749
La: 0.728 0.476 0.251
Pr: 0.765 0.013 0.738
Pr: 0.473 0.725 0.738
Pr: 0.235 0.987 0.262
Pr: 0.527 0.275 0.262

Properties
The magnetic moment is 0.00 μB per formula unit. The density of states at the Fermi level is 13.79 states/eV/f.u. For the energy of formation from the pure elements, the calculation gives 169 meV/atom.



Entry 10:
ScIn2F: relaxed, PBE.

a b c (Å): 4.968 4.968 4.968
angles (deg): 60.00 60.00 60.00
Positions (direct):
Sc: 0.500 0.500 0.500
In: 0.750 0.750 0.750
In: 0.250 0.250 0.250
F: 0.000 0.000 0.000

Properties
The magnetic moment is 0.00 μB per formula unit. The density of states at the Fermi level is 1.85 states/eV/f.u. The total energy is -3.9092 eV per atom.



Entry 11:
P2H8S: relaxed, PBE.

a b c (Å): 5.915 5.915 5.942
angles (deg): 89.81 60.02 119.65
Positions (direct):
H: 0.704 0.851 0.851
H: 0.296 0.149 0.554
H: 0.297 0.852 0.851
H: 0.701 0.555 0.149
H: 0.296 0.149 0.149
H: 0.299 0.445 0.851
H: 0.704 0.851 0.446
H: 0.703 0.148 0.149
P: 0.499 0.250 0.251
P: 0.501 0.750 0.749
S: 0.000 0.000 0.000

Properties
The magnetic moment is 0.00 μB per formula unit. The density of states at the Fermi level is 0.00 states/eV/f.u. The total energy is -3.7208 eV per atom.



Entry 12:
ScHg2Ir: relaxed, PBE.

a b c (Å): 3.135 3.149 9.310
angles (deg): 64.24 90.00 90.00
Positions (direct):
Hg: 0.500 0.306 0.286
Hg: 0.000 0.923 0.980
Sc: 0.500 0.770 0.706
Ir: 0.000 0.501 0.528

Properties
The magnetic moment is 0.00 μB per formula unit. The density of states at the Fermi level is 0.99 states/eV/f.u. For the energy of formation from the pure elements, the calculation gives -282 meV/atom.



Entry 13:
Th4IrSe3: relaxed, PBE.

a b c (Å): 7.251 7.385 8.484
angles (deg): 90.00 90.00 108.97
Positions (direct):
Th: 0.506 0.228 0.885
Th: 0.991 0.241 0.629
Th: 0.494 0.772 0.115
Th: 0.006 0.228 0.115
Th: 0.491 0.241 0.371
Th: 0.009 0.759 0.371
Th: 0.994 0.772 0.885
Th: 0.509 0.759 0.629
Se: 0.250 0.500 0.870
Se: 0.750 0.500 0.626
Se: 0.250 0.000 0.628
Se: 0.750 0.000 0.372
Se: 0.750 0.500 0.130
Se: 0.250 0.500 0.374
Ir: 0.750 0.000 0.871
Ir: 0.250 0.000 0.129

Properties
The magnetic moment is 0.00 μB per formula unit. The density of states at the Fermi level is 6.25 states/eV/f.u. The total energy is -7.5526 eV per atom.



Entry 14:
Be2Pb: relaxed, PBE.

a b c (Å): 6.665 6.665 6.665
angles (deg): 144.19 144.19 51.55
Positions (direct):
Be: 0.157 0.657 0.500
Be: 0.343 0.843 0.500
Be: 0.593 0.593 0.000
Be: 0.407 0.407 0.000
Pb: 0.000 0.000 0.000
Pb: 0.750 0.250 0.500

Properties
The magnetic moment is 0.00 μB per formula unit. The density of states at the Fermi level is 1.40 states/eV/f.u. For the energy of formation from the pure elements, the calculation gives 661 meV/atom.



Entry 15:
BaSn2As2: relaxed, PBE.

a b c (Å): 4.543 4.543 7.811
angles (deg): 73.09 73.09 90.00
Positions (direct):
Sn: 0.750 0.250 0.500
Sn: 0.250 0.750 0.500
As: 0.587 0.587 0.826
As: 0.413 0.413 0.174
Ba: 0.000 0.000 0.000

Properties
The magnetic moment is 0.00 μB per formula unit. The density of states at the Fermi level is 3.07 states/eV/f.u. For the energy of formation from the pure elements, the calculation gives -406 meV/atom.



Entry 16:
HoScS3: relaxed, PBE.

a b c (Å): 6.369 6.999 9.537
angles (deg): 90.00 90.00 90.00
Positions (direct):
Sc: 0.500 0.000 0.241
Sc: 0.500 0.000 0.741
Sc: 0.000 0.500 0.741
Sc: 0.000 0.500 0.241
Ho: 0.542 0.398 0.991
Ho: 0.042 0.102 0.491
Ho: 0.958 0.898 0.991
Ho: 0.458 0.602 0.491
S: 0.324 0.316 0.313
S: 0.354 0.049 0.991
S: 0.324 0.316 0.669
S: 0.824 0.184 0.813
S: 0.176 0.816 0.669
S: 0.646 0.951 0.491
S: 0.676 0.684 0.813
S: 0.854 0.451 0.491
S: 0.824 0.184 0.169
S: 0.676 0.684 0.169
S: 0.176 0.816 0.313
S: 0.146 0.549 0.991

Properties
The magnetic moment is 0.00 μB per formula unit. The density of states at the Fermi level is 0.00 states/eV/f.u. The total energy is -6.6428 eV per atom.



Entry 17:
Ac3Au2N2: relaxed, PBE.

a b c (Å): 4.192 7.387 7.618
angles (deg): 59.95 74.03 73.52
Positions (direct):
N: 0.192 0.690 0.926
N: 0.808 0.310 0.074
Au: 0.538 0.282 0.641
Au: 0.462 0.718 0.359
Ac: 0.794 0.651 0.762
Ac: 0.206 0.349 0.238
Ac: 0.000 0.000 0.000

Properties
The magnetic moment is 0.00 μB per formula unit. The density of states at the Fermi level is 1.77 states/eV/f.u. The total energy is -6.0409 eV per atom.



Entry 18:
TiSiRh2Se: relaxed, PBE.

a b c (Å): 4.538 4.825 4.538
angles (deg): 90.00 90.00 90.00
Positions (direct):
Se: 0.500 0.500 0.500
Ti: 0.000 0.000 0.000
Rh: 0.500 0.000 0.000
Rh: 0.000 0.000 0.500
Si: 0.000 0.500 0.000

Properties
The magnetic moment is 0.00 μB per formula unit. The density of states at the Fermi level is 1.23 states/eV/f.u. The total energy is -5.6158 eV per atom.



Entry 19:
TbCe4U3P8: relaxed, PBE.

a b c (Å): 8.029 8.076 8.028
angles (deg): 119.81 120.00 90.00
Last column: magnetic moment on the atom in μB.
Positions (direct):
Ce: 0.500 0.000 0.000  0.49
Ce: 0.500 0.000 0.500  0.57
Ce: 0.000 0.000 0.500  0.57
Ce: 0.000 0.000 0.000  0.57
P: 0.254 0.262 0.508  -0.06
P: 0.751 0.260 0.502  -0.05
P: 0.743 0.740 0.991  -0.05
P: 0.257 0.260 0.009  -0.05
P: 0.751 0.260 0.009  -0.05
P: 0.746 0.738 0.492  -0.06
P: 0.249 0.740 0.991  -0.05
P: 0.249 0.740 0.498  -0.05
U: 0.500 0.500 0.500  2.02
U: 0.000 0.500 0.500  2.02
U: 0.500 0.500 0.000  2.02
Tb: 0.000 0.500 0.000  0.02

Properties
The magnetic moment is 9.20 μB per formula unit. The density of states at the Fermi level is 31.16 states/eV/f.u. For the energy of formation from the pure elements, the calculation gives -1306 meV/atom.



Entry 20:
LaDyMg4: relaxed, PBE.

a b c (Å): 6.116 6.116 6.116
angles (deg): 60.00 60.00 60.00
Positions (direct):
Dy: 0.000 0.000 0.000
Mg: 0.625 0.124 0.625
Mg: 0.625 0.625 0.124
Mg: 0.124 0.625 0.625
Mg: 0.625 0.625 0.625
La: 0.250 0.250 0.250

Properties
The magnetic moment is 0.00 μB per formula unit. The density of states at the Fermi level is 5.17 states/eV/f.u. For the energy of formation from the pure elements, the calculation gives -98 meV/atom.